Here is a geometry-optimized NdHo2Pu structure from Alexandria via LeMat-Bulk. Energies are from GGA-PBE.

Energy above the most stable polymorph in this dataset: 0.44 eV per formula unit
Calculated formation energy: 0.209 eV/atom
D(E_F): 12.1 states/eV/f.u.
Final energy: -6.8544 eV per atom
Total magnetization: 1.603 μB per atom
Volume: 31.46 Å³ per atom

a = 7.9548 Å, b = 7.9548 Å, c = 7.9548 Å
α = 90.00°, β = 90.00°, γ = 90.00°
Space group Fm-3m (No. 225)
Inequivalent atoms, fractional coordinates:
Nd  0.0000  0.0000  0.0000 (multiplicity 4)
Ho  0.2500  0.2500  0.2500 (multiplicity 8)
Pu  0.0000  0.0000  0.5000 (multiplicity 4)